No. 1
The following is a DFT calculation (PBE) of a geometry-optimized PmCo2Ge7 structure.

Lattice parameters (Å, degrees): 7.8908 12.6191 4.0749 90.00 90.00 90.00
Space group Cmmm (No. 65)
Inequivalent atoms, fractional coordinates:
Pm1 0.0000 0.0000 0.0000
Co1 0.0000 0.3237 0.5000
Ge1 0.0000 0.2384 0.0000
Ge2 0.0000 0.5000 0.5000
Ge3 0.2001 0.1483 0.5000

## Properties
Formation energy ... -38.3 meV per atom
Total magnetic moment ... 0.0 μB per cell

---

No. 2
The following is a DFT calculation (PBE) of a geometry-optimized PmCo9Ge4 structure.

Lattice parameters (Å, degrees): 7.8805 7.8805 11.8134 90.00 90.00 90.00
Space group I4/mcm (No. 140)
Inequivalent atoms, fractional coordinates:
Pm1 0.0000 0.0000 0.2500
Co1 0.0000 0.5000 0.0000
Co2 0.0663 0.1988 0.0000
Co3 0.1238 0.3762 0.1774
Ge1 0.1724 0.3276 0.3741

## Properties
Formation energy ... -267.1 meV per atom
Total magnetic moment ... 28.0 μB per cell